(1)
A relaxed Rb4RhO4 crystal, computed with GGA-PBE.

Unit cell a=6.546 b=6.546 c=7.712 alpha=115.11 beta=115.11 gamma=90.00
Each line ends with the local moment (μB).
Sites, in units of the cell vectors:
Rb (0.713, 0.713, 0.427)  0.00
O (0.048, 0.048, 0.786)  0.07
O (0.952, 0.262, 0.214)  0.07
O (0.738, 0.738, 0.786)  0.07
Rb (0.000, 0.500, 0.000)  0.00
Rb (0.287, 0.287, 0.573)  0.00
Rh (0.000, 0.000, 0.000)  0.48
Rb (0.500, 0.000, 0.000)  0.00
O (0.262, 0.952, 0.214)  0.07

## Properties
* space-group type: No. 121
* energy relative to the lowest polymorph listed for this composition: 0.1404 eV/atom

(2)
A relaxed Dy3TmSc2Se6 crystal, computed with GGA-PBE.

Unit cell a=6.922 b=6.922 c=6.961 alpha=99.51 beta=99.51 gamma=120.29
Sites, in units of the cell vectors:
Tm (0.000, 0.000, 0.000)
Se (0.080, 0.419, 0.239)
Se (0.739, 0.739, 0.236)
Se (0.419, 0.080, 0.239)
Sc (0.333, 0.667, 0.000)
Sc (0.667, 0.333, 0.000)
Dy (0.164, 0.836, 0.500)
Dy (0.836, 0.164, 0.500)
Se (0.261, 0.261, 0.764)
Se (0.581, 0.920, 0.761)
Dy (0.500, 0.500, 0.500)
Se (0.920, 0.581, 0.761)

## Properties
* space-group type: No. 12
* final energy: -71.99 eV for the cell shown

(3)
A relaxed Rb2PuTeSe4 crystal, computed with GGA-PBE.

Unit cell a=7.310 b=7.310 c=7.310 alpha=107.98 beta=110.22 gamma=110.22
Each line ends with the local moment (μB).
Sites, in units of the cell vectors:
Te (0.000, 0.500, 0.500)  -0.09
Se (0.116, 0.266, 0.713)  -0.11
Rb (0.500, 0.750, 0.250)  0.00
Se (0.553, 0.287, 0.403)  -0.11
Se (0.884, 0.597, 0.150)  -0.11
Rb (0.000, 0.000, 0.000)  -0.01
Se (0.447, 0.850, 0.734)  -0.11
Pu (0.500, 0.250, 0.750)  4.96

## Properties
* space-group type: No. 82
* final energy: -39.56 eV for the cell shown

(4)
A relaxed CaAcGa2Cu2 crystal, computed with GGA-PBE.

Unit cell a=4.327 b=4.327 c=8.521 alpha=90.00 beta=90.00 gamma=120.00
Sites, in units of the cell vectors:
Ca (0.000, 0.000, 0.500)
Ga (0.667, 0.333, 0.263)
Cu (0.333, 0.667, 0.268)
Cu (0.667, 0.333, 0.732)
Ga (0.333, 0.667, 0.737)
Ac (0.000, 0.000, 0.000)

## Properties
* space-group type: No. 164
* energy of formation from the pure elements: -0.36 eV per atom